Record 1
Material: Mg2CoOs
Method: DFT, PBE
State: relaxed

Properties
* total moment: 1.71 μB/cell
* density: 7.98 g/cm³
* raw total energy: -0.18855 Ha/atom
* density of states at the Fermi level: 3.9 states/eV/cell
* space group: No. 6
* E_form: 0.2505 eV per atom

Structure (extended XYZ):
```
4
Lattice="4.330 0.000 0.000 0.000 2.778 -0.043 0.000 1.011 5.139" Properties=species:S:1:pos:R:3 pbc="T T T"
Co 2.165 2.526 3.738
Mg 0.000 3.732 4.965
Mg 2.165 0.978 1.434
Os 0.000 2.236 2.604
```

***

Record 2
Material: Ti2CrReHg
Method: DFT, PBE
State: relaxed

Properties
* total moment: 0.00 μB/cell
* density: 9.69 g/cm³
* raw total energy: -0.25366 Ha/atom
* density of states at the Fermi level: 5.6 states/eV/cell
* space group: No. 123
* E_form: 0.7302 eV per atom

Structure (extended XYZ):
```
5
Lattice="4.522 0.000 0.000 0.000 4.480 0.000 0.000 0.000 4.522" Properties=species:S:1:pos:R:3 pbc="T T T"
Re 0.000 2.240 0.000
Ti 0.000 0.000 2.261
Ti 2.261 0.000 0.000
Hg 2.261 2.240 2.261
Cr 0.000 0.000 0.000
```

***

Which value of E_form does entry 2 give?
0.7302 eV per atom